Entry from Alexandria: a relaxed structure of Ca10Bi3Sb3 (PBE-GGA).

The magnetic moment is 1.57 Bohr magnetons per cell. The theoretical density is 4.51 g/cm3. The formation energy (no corrections) comes out at -0.91 eV/atom.

It has space group P-62m (No. 189), with a = 9.1704 Å, b = 9.1704 Å, c = 7.0482 Å, α = 90.00°, β = 90.00° and γ = 120.00°. The asymmetric unit holds Ca at (0.0000, 0.2509, 0.0000), Ca at (0.0000, 0.7499, 0.5000), Ca at (0.3333, 0.6667, 0.2467), Bi at (0.0000, 0.3903, 0.5000) and Sb at (0.0000, 0.6107, 0.0000).



Entry from Alexandria: a relaxed structure of CaBi2Sb2 (PBE-GGA).

The magnetic moment is 0.00 Bohr magnetons per cell. The theoretical density is 6.96 g/cm3. The energy above the lowest structure with this stoichiometry comes out at 54 meV/atom. The formation energy (no corrections) comes out at -0.16 eV/atom.

It has space group I4/mmm (No. 139), with a = 4.5523 Å, b = 4.5523 Å, c = 16.1590 Å, α = 90.00°, β = 90.00° and γ = 90.00°. The asymmetric unit holds Ca at (0.0000, 0.0000, 0.0000), Bi at (0.0000, 0.5000, 0.2500) and Sb at (0.0000, 0.0000, 0.4104).



Entry from Alexandria: a relaxed structure of Ca2BiSb (PBE-GGA).

The magnetic moment is 0.00 Bohr magnetons per cell. The theoretical density is 5.23 g/cm3. The energy above the lowest structure with this stoichiometry comes out at 81 meV/atom. The formation energy (no corrections) comes out at -0.69 eV/atom.

It has space group R-3m (No. 166, hexagonal axes), with a = 4.1083 Å, b = 4.1083 Å, c = 26.7553 Å, α = 90.00°, β = 90.00° and γ = 120.00°. The asymmetric unit holds Ca at (0.0000, 0.0000, 0.2450), Bi at (0.0000, 0.0000, 0.0000) and Sb at (0.0000, 0.0000, 0.5000).



Entry from Alexandria: a relaxed structure of Ca2ScBiSb (PBE-GGA).

The magnetic moment is 0.91 Bohr magnetons per cell. The theoretical density is 4.05 g/cm3. The formation energy (no corrections) comes out at -0.18 eV/atom.

It has space group P4/mmm (No. 123), with a = 5.8367 Å, b = 5.8367 Å, c = 5.4902 Å, α = 90.00°, β = 90.00° and γ = 90.00°. The asymmetric unit holds Ca at (0.0000, 0.5000, 0.0000), Sc at (0.0000, 0.0000, 0.5000), Bi at (0.0000, 0.0000, 0.0000) and Sb at (0.5000, 0.5000, 0.5000).



Entry from Alexandria: a relaxed structure of Sr2Ca2BiSb2 (PBE-GGA).

The magnetic moment is 0.00 Bohr magnetons per cell. The theoretical density is 4.18 g/cm3. The formation energy (no corrections) comes out at -0.84 eV/atom.

It has space group C2/m (No. 12), with a = 16.5171 Å, b = 4.1799 Å, c = 9.1855 Å, α = 90.00°, β = 117.47° and γ = 90.00°. The asymmetric unit holds Sr at (0.0249, 0.0000, 0.2208), Ca at (0.2023, 0.5000, 0.7976), Bi at (0.0000, 0.5000, 0.5000) and Sb at (0.1400, 0.5000, 0.0810).



Entry from Alexandria: a relaxed structure of CaTc2BiSb (PBE-GGA).

The magnetic moment is 4.22 Bohr magnetons per cell. The theoretical density is 6.23 g/cm3. The formation energy (no corrections) comes out at 1.33 eV/atom.

It has space group P4/mmm (No. 123), with a = 5.1190 Å, b = 5.1190 Å, c = 5.7635 Å, α = 90.00°, β = 90.00° and γ = 90.00°. The asymmetric unit holds Ca at (0.0000, 0.0000, 0.0000), Tc at (0.0000, 0.5000, 0.5000), Bi at (0.0000, 0.0000, 0.5000) and Sb at (0.5000, 0.5000, 0.0000).